A:
BiSbI2 after structural relaxation. Source: Alexandria via LeMat-Bulk, functional PBE-GGA.

Unit cell a=3.6637 b=3.8182 c=11.1649 alpha=89.58 beta=89.99 gamma=89.34
Last column: nearest neighbours and their distance in Å.
Space group P-1 (No. 2)
Asymmetric unit:
1 Bi 0.0000 0.0000 0.0000 [1 per cell]  4 I 3.19
2 Sb 0.0000 0.5000 0.5000 [1 per cell]  2 I 3.03
3 I 0.0017 0.5036 0.7712 [2 per cell]  1 Sb 3.03, 2 Bi 3.19

Summary:
- crystal system = triclinic

---

B:
BiSbI2 after structural relaxation. Source: Alexandria via LeMat-Bulk, functional PBE-GGA.

Unit cell a=7.9987 b=7.9987 c=7.9987 alpha=90.00 beta=90.00 gamma=90.00
Last column: nearest neighbours and their distance in Å.
Space group Fm-3m (No. 225)
Asymmetric unit:
1 Bi 0.0000 0.0000 0.0000 [4 per cell]  8 I 3.46
2 Sb 0.0000 0.0000 0.5000 [4 per cell]  8 I 3.46
3 I 0.2500 0.2500 0.2500 [8 per cell]  4 Bi 3.46, 4 Sb 3.46

Summary:
- crystal system = cubic

---

Least stable structure: B

---

A:
SiBiSb2I after structural relaxation. Source: Alexandria via LeMat-Bulk, functional PBE-GGA.

Unit cell a=5.8772 b=5.8772 c=5.9427 alpha=90.00 beta=90.00 gamma=90.00
Last column: nearest neighbours and their distance in Å.
Space group P4/mmm (No. 123)
Asymmetric unit:
1 Si 0.0000 0.0000 0.0000 [1 per cell]  4 I 4.16, 8 Sb 4.18
2 Bi 0.5000 0.5000 0.5000 [1 per cell]  4 Sb 2.94, 2 I 2.97
3 Sb 0.0000 0.5000 0.5000 [2 per cell]  2 Bi 2.94
4 I 0.5000 0.5000 0.0000 [1 per cell]  2 Bi 2.97

Summary:
- crystal system = tetragonal

---

B:
SiBiSb2I after structural relaxation. Source: Alexandria via LeMat-Bulk, functional PBE-GGA.

Unit cell a=5.3845 b=5.3845 c=5.2828 alpha=90.00 beta=90.00 gamma=90.00
Last column: nearest neighbours and their distance in Å.
Space group P4/mmm (No. 123)
Asymmetric unit:
1 Si 0.0000 0.0000 0.0000 [1 per cell]  2 I 2.64, 4 Sb 2.69
2 Bi 0.5000 0.5000 0.5000 [1 per cell]  8 Sb 3.77, 4 I 3.81
3 Sb 0.0000 0.5000 0.0000 [2 per cell]  2 Si 2.69
4 I 0.0000 0.0000 0.5000 [1 per cell]  2 Si 2.64

Summary:
- crystal system = tetragonal

---

Least stable structure: A

---

A:
TaBiSb2I after structural relaxation. Source: Alexandria via LeMat-Bulk, functional PBE-GGA.

Unit cell a=5.3680 b=5.3680 c=5.5704 alpha=90.00 beta=90.00 gamma=90.00
Last column: nearest neighbours and their distance in Å.
Space group P4/mmm (No. 123)
Asymmetric unit:
1 Ta 0.0000 0.0000 0.0000 [1 per cell]  4 Sb 2.68, 2 Bi 2.79
2 Bi 0.0000 0.0000 0.5000 [1 per cell]  2 Ta 2.79
3 Sb 0.0000 0.5000 0.0000 [2 per cell]  2 Ta 2.68
4 I 0.5000 0.5000 0.5000 [1 per cell]  4 Bi 3.80, 8 Sb 3.87

Summary:
- crystal system = tetragonal

---

B:
TaBiSb2I after structural relaxation. Source: Alexandria via LeMat-Bulk, functional PBE-GGA.

Unit cell a=5.4962 b=5.4962 c=5.3318 alpha=90.00 beta=90.00 gamma=90.00
Last column: nearest neighbours and their distance in Å.
Space group P4/mmm (No. 123)
Asymmetric unit:
1 Ta 0.0000 0.0000 0.0000 [1 per cell]  2 I 2.67, 4 Sb 2.75
2 Bi 0.5000 0.5000 0.5000 [1 per cell]  8 Sb 3.83, 4 I 3.89
3 Sb 0.0000 0.5000 0.0000 [2 per cell]  2 Ta 2.75
4 I 0.0000 0.0000 0.5000 [1 per cell]  2 Ta 2.67

Summary:
- crystal system = tetragonal

---

Least stable structure: B

---

A:
BiSbTe2I after structural relaxation. Source: Alexandria via LeMat-Bulk, functional PBE-GGA.

Unit cell a=5.8934 b=5.8934 c=6.0369 alpha=90.00 beta=90.00 gamma=90.00
Last column: nearest neighbours and their distance in Å.
Space group P4/mmm (No. 123)
Asymmetric unit:
1 Bi 0.0000 0.0000 0.0000 [1 per cell]  4 Te 2.95, 2 Sb 3.02
2 Sb 0.0000 0.0000 0.5000 [1 per cell]  2 Bi 3.02
3 Te 0.0000 0.5000 0.0000 [2 per cell]  2 Bi 2.95
4 I 0.5000 0.5000 0.5000 [1 per cell]  4 Sb 4.17, 8 Te 4.22

Summary:
- crystal system = tetragonal

---

B:
BiSbTe2I after structural relaxation. Source: Alexandria via LeMat-Bulk, functional PBE-GGA.

Unit cell a=5.7610 b=5.7610 c=5.8381 alpha=90.00 beta=90.00 gamma=90.00
Last column: nearest neighbours and their distance in Å.
Space group P4/mmm (No. 123)
Asymmetric unit:
1 Bi 0.0000 0.0000 0.0000 [1 per cell]  4 Sb 4.07, 8 Te 4.10
2 Sb 0.5000 0.5000 0.0000 [1 per cell]  2 I 2.92
3 Te 0.0000 0.5000 0.5000 [2 per cell]  2 I 2.88
4 I 0.5000 0.5000 0.5000 [1 per cell]  4 Te 2.88, 2 Sb 2.92

Summary:
- crystal system = tetragonal

---

C:
BiSbTe2I after structural relaxation. Source: Alexandria via LeMat-Bulk, functional PBE-GGA.

Unit cell a=5.8138 b=5.8138 c=5.7232 alpha=90.00 beta=90.00 gamma=90.00
Last column: nearest neighbours and their distance in Å.
Space group P4/mmm (No. 123)
Asymmetric unit:
1 Bi 0.0000 0.0000 0.0000 [1 per cell]  8 Te 4.08, 4 I 4.11
2 Sb 0.5000 0.5000 0.5000 [1 per cell]  2 I 2.86, 4 Te 2.91
3 Te 0.0000 0.5000 0.5000 [2 per cell]  2 Sb 2.91
4 I 0.5000 0.5000 0.0000 [1 per cell]  2 Sb 2.86

Summary:
- crystal system = tetragonal

---

D:
BiSbTe2I after structural relaxation. Source: Alexandria via LeMat-Bulk, functional PBE-GGA.

Unit cell a=6.0180 b=6.0180 c=5.9049 alpha=90.00 beta=90.00 gamma=90.00
Last column: nearest neighbours and their distance in Å.
Space group P4/mmm (No. 123)
Asymmetric unit:
1 Bi 0.0000 0.0000 0.0000 [1 per cell]  2 I 2.95, 4 Te 3.01
2 Sb 0.5000 0.5000 0.5000 [1 per cell]  8 Te 4.22, 4 I 4.26
3 Te 0.0000 0.5000 0.0000 [2 per cell]  2 Bi 3.01
4 I 0.0000 0.0000 0.5000 [1 per cell]  2 Bi 2.95

Summary:
- crystal system = tetragonal

---

Least stable structure: B

---

A:
ZnBiSb2I after structural relaxation. Source: Alexandria via LeMat-Bulk, functional PBE-GGA.

Unit cell a=5.9593 b=5.9593 c=6.2935 alpha=90.00 beta=90.00 gamma=90.00
Last column: nearest neighbours and their distance in Å.
Space group P4/mmm (No. 123)
Asymmetric unit:
1 Zn 0.0000 0.0000 0.0000 [1 per cell]  4 I 4.21, 8 Sb 4.33
2 Bi 0.5000 0.5000 0.5000 [1 per cell]  4 Sb 2.98, 2 I 3.15
3 Sb 0.0000 0.5000 0.5000 [2 per cell]  2 Bi 2.98
4 I 0.5000 0.5000 0.0000 [1 per cell]  2 Bi 3.15

Summary:
- crystal system = tetragonal

---

B:
ZnBiSb2I after structural relaxation. Source: Alexandria via LeMat-Bulk, functional PBE-GGA.

Unit cell a=5.3381 b=5.3381 c=5.3734 alpha=90.00 beta=90.00 gamma=90.00
Last column: nearest neighbours and their distance in Å.
Space group P4/mmm (No. 123)
Asymmetric unit:
1 Zn 0.0000 0.0000 0.0000 [1 per cell]  4 Sb 2.67, 2 I 2.69
2 Bi 0.5000 0.5000 0.5000 [1 per cell]  4 I 3.77, 8 Sb 3.79
3 Sb 0.0000 0.5000 0.0000 [2 per cell]  2 Zn 2.67
4 I 0.0000 0.0000 0.5000 [1 per cell]  2 Zn 2.69

Summary:
- crystal system = tetragonal

---

Least stable structure: A

---

A:
ZnBiSbI2 after structural relaxation. Source: Alexandria via LeMat-Bulk, functional PBE-GGA.

Unit cell a=6.2279 b=6.2279 c=6.1207 alpha=90.00 beta=90.00 gamma=90.00
Last column: nearest neighbours and their distance in Å.
Space group P4/mmm (No. 123)
Asymmetric unit:
1 Zn 0.0000 0.0000 0.0000 [1 per cell]  8 I 4.37, 4 Sb 4.40
2 Bi 0.5000 0.5000 0.5000 [1 per cell]  2 Sb 3.06, 4 I 3.11
3 Sb 0.5000 0.5000 0.0000 [1 per cell]  2 Bi 3.06
4 I 0.0000 0.5000 0.5000 [2 per cell]  2 Bi 3.11

Summary:
- crystal system = tetragonal

---

B:
ZnBiSbI2 after structural relaxation. Source: Alexandria via LeMat-Bulk, functional PBE-GGA.

Unit cell a=5.4060 b=5.4060 c=5.5462 alpha=90.00 beta=90.00 gamma=90.00
Last column: nearest neighbours and their distance in Å.
Space group P4/mmm (No. 123)
Asymmetric unit:
1 Zn 0.0000 0.0000 0.0000 [1 per cell]  4 I 2.70, 2 Sb 2.77
2 Bi 0.5000 0.5000 0.5000 [1 per cell]  4 Sb 3.82, 8 I 3.87
3 Sb 0.0000 0.0000 0.5000 [1 per cell]  2 Zn 2.77
4 I 0.0000 0.5000 0.0000 [2 per cell]  2 Zn 2.70

Summary:
- crystal system = tetragonal

---

Least stable structure: A

---

A:
ScBiI2 after structural relaxation. Source: Alexandria via LeMat-Bulk, functional PBE-GGA.

Unit cell a=3.7959 b=3.7959 c=33.8208 alpha=90.00 beta=90.00 gamma=120.00
Last column: nearest neighbours and their distance in Å.
Space group R-3m (No. 166, hexagonal axes)
Asymmetric unit:
1 Sc 0.0000 0.0000 0.0000 [3 per cell]  6 I 2.91
2 Bi 0.0000 0.0000 0.5000 [3 per cell]  2 I 3.73, 6 Bi 3.80
3 I 0.0000 0.0000 0.3898 [6 per cell]  3 Sc 2.91

Summary:
- crystal system = trigonal

---

B:
ScBiI2 after structural relaxation. Source: Alexandria via LeMat-Bulk, functional PBE-GGA.

Unit cell a=10.5763 b=10.5763 c=5.8316 alpha=90.00 beta=90.00 gamma=90.00
Last column: nearest neighbours and their distance in Å.
Space group I-42d (No. 122)
Asymmetric unit:
1 Sc 0.0000 0.0000 0.0000 [4 per cell]  2 Bi 2.92, 4 I 2.94
2 Bi 0.0000 0.0000 0.5000 [4 per cell]  2 Sc 2.92
3 I 0.0989 0.2500 0.1250 [8 per cell]  2 Sc 2.94

Summary:
- crystal system = tetragonal

---

C:
ScBiI2 after structural relaxation. Source: Alexandria via LeMat-Bulk, functional PBE-GGA.

Unit cell a=7.7521 b=7.7521 c=7.7521 alpha=90.00 beta=90.00 gamma=90.00
Last column: nearest neighbours and their distance in Å.
Space group Fm-3m (No. 225)
Asymmetric unit:
1 Sc 0.0000 0.0000 0.0000 [4 per cell]  8 I 3.36
2 Bi 0.0000 0.0000 0.5000 [4 per cell]  8 I 3.36
3 I 0.2500 0.2500 0.2500 [8 per cell]  4 Bi 3.36, 4 Sc 3.36

Summary:
- crystal system = cubic

---

Least stable structure: C

---

A:
ScBi3I after structural relaxation. Source: Alexandria via LeMat-Bulk, functional PBE-GGA.

Unit cell a=5.6560 b=5.6560 c=5.6560 alpha=90.00 beta=90.00 gamma=90.00
Last column: nearest neighbours and their distance in Å.
Space group Pm-3m (No. 221)
Asymmetric unit:
1 Sc 0.0000 0.0000 0.0000 [1 per cell]  6 Bi 2.83
2 Bi 0.0000 0.0000 0.5000 [3 per cell]  2 Sc 2.83
3 I 0.5000 0.5000 0.5000 [1 per cell]  12 Bi 4.00

Summary:
- crystal system = cubic

---

B:
ScBi3I after structural relaxation. Source: Alexandria via LeMat-Bulk, functional PBE-GGA.

Unit cell a=5.8406 b=5.8406 c=5.8406 alpha=90.00 beta=90.00 gamma=90.00
Last column: nearest neighbours and their distance in Å.
Space group Pm-3m (No. 221)
Asymmetric unit:
1 Sc 0.0000 0.0000 0.0000 [1 per cell]  12 Bi 4.13
2 Bi 0.0000 0.5000 0.5000 [3 per cell]  2 I 2.92
3 I 0.5000 0.5000 0.5000 [1 per cell]  6 Bi 2.92

Summary:
- crystal system = cubic

---

Least stable structure: B